# 1
DFT (GGA-PBE) results for a geometry-optimized YNi4Ge structure.

Lattice parameters (Å, degrees): 5.0616 8.3633 4.0135 90.00 90.00 90.00
Last column: nearest neighbours and their distance in Å.
Atoms (fractional coordinates):
Y (0.0000, 0.0000, 0.0000)  6 Ni 2.81-2.88
Y (0.5000, 0.5000, 0.0000)  6 Ni 2.81-2.88
Ni (0.0000, 0.3364, 0.0000)  2 Ge 2.43, 4 Ni 2.48
Ni (0.0000, 0.6636, 0.0000)  2 Ge 2.43, 4 Ni 2.48
Ni (0.2500, 0.2500, 0.5000)  2 Ge 2.44, 6 Ni 2.48-2.53
Ni (0.2500, 0.7500, 0.5000)  2 Ge 2.44, 6 Ni 2.48-2.53
Ni (0.5000, 0.1636, 0.0000)  2 Ge 2.43, 4 Ni 2.48
Ni (0.5000, 0.8364, 0.0000)  2 Ge 2.43, 4 Ni 2.48
Ni (0.7500, 0.2500, 0.5000)  2 Ge 2.44, 6 Ni 2.48-2.53
Ni (0.7500, 0.7500, 0.5000)  2 Ge 2.44, 6 Ni 2.48-2.53
Ge (0.0000, 0.5000, 0.5000)  8 Ni 2.43-2.44
Ge (0.5000, 0.0000, 0.5000)  8 Ni 2.43-2.44

Results
Its crystal system is orthorhombic. Its space group is Cmmm (65). The total magnetization is 0.01 μB/f.u.

# 2
DFT (GGA-PBE) results for a geometry-optimized PrSmI3N structure.

Lattice parameters (Å, degrees): 10.4400 10.4400 12.8647 125.31 125.31 22.79
Last column: nearest neighbours and their distance in Å.
Atoms (fractional coordinates):
Pr (0.1318, 0.1318, 0.2739)  2 N 2.47
Pr (0.8682, 0.8682, 0.7261)  2 N 2.47
Sm (0.4317, 0.4317, 0.0368)  2 N 2.31-2.32
Sm (0.5683, 0.5683, 0.9632)  2 N 2.31-2.32
I (0.0363, 0.0363, 0.7498)  2 Sm 3.18, 1 Pr 3.27
I (0.2144, 0.2144, 0.1209)  2 Sm 3.19, 1 Pr 3.26
I (0.3322, 0.3322, 0.4923)  3 Pr 3.34-3.35
I (0.6678, 0.6678, 0.5077)  3 Pr 3.34-3.35
I (0.7856, 0.7856, 0.8791)  2 Sm 3.19, 1 Pr 3.26
I (0.9637, 0.9637, 0.2502)  2 Sm 3.18, 1 Pr 3.27
N (0.4295, 0.4295, 0.8548)  2 Sm 2.31-2.32, 2 Pr 2.47
N (0.5705, 0.5705, 0.1452)  2 Sm 2.31-2.32, 2 Pr 2.47

Results
Its crystal system is monoclinic. Its space group is C2/m (12). The total magnetization is 0.00 μB/f.u. The value obtained for the energy above the most stable polymorph in this dataset is 0.000 eV per atom.

# 3
DFT (GGA-PBE) results for a geometry-optimized TbGd2Sn3Pd3 structure.

Lattice parameters (Å, degrees): 4.0306 7.5623 7.5623 119.96 90.00 90.00
Last column: nearest neighbours and their distance in Å.
Atoms (fractional coordinates):
Tb (0.0000, 0.0000, 0.0000)  5 Pd 3.05-3.08, 6 Sn 3.24-3.37
Gd (0.0000, 0.1850, 0.5927)  5 Pd 3.05-3.08, 6 Sn 3.24-3.37
Gd (0.0000, 0.5927, 0.1850)  5 Pd 3.05-3.08, 6 Sn 3.24-3.37
Sn (0.5000, 0.3353, 0.3353)  4 Pd 2.80-2.85
Sn (0.5000, 0.5930, 0.8498)  4 Pd 2.80-2.86
Sn (0.5000, 0.8498, 0.5930)  4 Pd 2.80-2.86
Pd (0.0000, 0.5931, 0.5931)  6 Sn 2.80, 1 Tb 3.08, 2 Gd 3.08
Pd (0.5000, 0.2588, 0.9262)  3 Sn 2.85-2.86, 2 Tb 3.05, 4 Gd 3.05
Pd (0.5000, 0.9262, 0.2588)  3 Sn 2.85-2.86, 2 Tb 3.05, 4 Gd 3.05

Results
Its crystal system is orthorhombic. Its space group is Amm2 (38). The total magnetization is 0.01 μB/f.u.

# 4
DFT (GGA-PBE) results for a geometry-optimized Na2Ta2Al2IrOs structure.

Lattice parameters (Å, degrees): 4.4847 4.4847 6.3381 90.00 90.00 90.00
Last column: nearest neighbours and their distance in Å.
Atoms (fractional coordinates):
Na (0.0000, 0.0000, 0.0000)  4 Ta 2.75, 4 Al 2.76
Na (0.5000, 0.5000, 0.5000)  4 Al 2.73, 4 Ta 2.74
Ta (0.0000, 0.5000, 0.7485)  4 Na 2.74-2.75, 2 Os 2.74, 2 Ir 2.75
Ta (0.5000, 0.0000, 0.2515)  4 Na 2.74-2.75, 2 Os 2.74, 2 Ir 2.75
Al (0.0000, 0.5000, 0.2545)  4 Na 2.73-2.76, 2 Os 2.73, 2 Ir 2.76
Al (0.5000, 0.0000, 0.7455)  4 Na 2.73-2.76, 2 Os 2.73, 2 Ir 2.76
Ir (0.5000, 0.5000, 0.0000)  4 Ta 2.75, 4 Al 2.76
Os (0.0000, 0.0000, 0.5000)  4 Al 2.73, 4 Ta 2.74

Results
Its crystal system is tetragonal. Its space group is P-4m2 (115). The total magnetization is 0.01 μB/f.u.

# 5
DFT (GGA-PBE) results for a geometry-optimized PrNdAlNi2 structure.

Lattice parameters (Å, degrees): 4.2810 5.5194 8.6383 90.00 90.00 90.00
Last column: nearest neighbours and their distance in Å.
Atoms (fractional coordinates):
Pr (0.0000, 0.0000, 0.0000)  6 Ni 2.95-3.06, 2 Al 3.27
Pr (0.5000, 0.5000, 0.5000)  6 Ni 2.95-3.06, 2 Al 3.27
Nd (0.0000, 0.0000, 0.5928)  6 Ni 2.95-3.06, 2 Al 3.27
Nd (0.5000, 0.5000, 0.0928)  6 Ni 2.95-3.06, 2 Al 3.27
Al (0.0000, 0.5000, 0.7964)  4 Ni 2.59
Al (0.5000, 0.0000, 0.2964)  4 Ni 2.59
Ni (0.0000, 0.2650, 0.2963)  2 Al 2.59, 1 Ni 2.59
Ni (0.0000, 0.7350, 0.2963)  2 Al 2.59, 1 Ni 2.59
Ni (0.5000, 0.2350, 0.7963)  2 Al 2.59, 1 Ni 2.59
Ni (0.5000, 0.7650, 0.7963)  2 Al 2.59, 1 Ni 2.59

Results
Its crystal system is orthorhombic. Its space group is Imm2 (44). The total magnetization is 0.01 μB/f.u. The value obtained for the energy above the most stable polymorph in this dataset is 0.000 eV per atom.

# 6
DFT (GGA-PBE) results for a geometry-optimized NdZnAsO structure.

Lattice parameters (Å, degrees): 5.0060 4.1303 7.0612 90.00 90.00 90.00
Last column: nearest neighbours and their distance in Å.
Atoms (fractional coordinates):
Nd (0.0000, 0.2468, 0.0000)  3 O 2.37
Nd (0.0000, 0.7532, 0.5000)  3 O 2.37
Zn (0.5000, 0.2567, 0.3397)  3 As 2.37, 2 O 2.50
Zn (0.5000, 0.7433, 0.8397)  3 As 2.37, 2 O 2.50
As (0.5000, 0.2435, 0.6754)  3 Zn 2.37
As (0.5000, 0.7565, 0.1754)  3 Zn 2.37
O (0.0000, 0.2544, 0.3354)  3 Nd 2.37, 2 Zn 2.50
O (0.0000, 0.7456, 0.8354)  3 Nd 2.37, 2 Zn 2.50

Results
Its crystal system is orthorhombic. Its space group is Pmc2_1 (26). The total magnetization is 0.00 μB/f.u.

Listing calculated total energy for the structures above in their given order: -6.071 -5.214 -5.550 -6.767 -5.315 -5.503 eV per atom.